HgPWO2 | PBE with a Hubbard U | relaxed

a = 3.8887 Å, b = 3.8887 Å, c = 5.3122 Å
α = 90.00°, β = 90.00°, γ = 90.00°
Closest atoms and distances in Å follow each position.
Space group P4/mmm (No. 123)
Unique sites:
Hg  0.0000  0.0000  0.0000 [1 per cell]  4 P 2.75
P  0.5000  0.5000  0.0000 [1 per cell]  2 W 2.66, 4 Hg 2.75
W  0.5000  0.5000  0.5000 [1 per cell]  4 O 1.94
O  0.0000  0.5000  0.5000 [2 per cell]  2 W 1.94

Output
**Energy relative to the lowest polymorph listed for this composition**: 0 meV/atom
**E_tot**: -5.446 eV per atom